No. 1
Here is a relaxed structure of ZrAl2Si from the Alexandria database. Energies are from PBE.

Output
Density of states at the Fermi level   3.296 states/eV per cell
Total energy   -5.27 eV/atom
Symmetry   P-6m2, No. 187

Lattice parameters (Å, degrees): 3.051 3.051 9.661 90.00 90.00 120.01
Fractional positions:
Si (0.000, 0.000, 0.000)
Al (0.000, 0.000, 0.255)
Al (0.000, 0.000, 0.745)
Zr (0.333, 0.667, 0.500)

No. 2
Here is a relaxed structure of Zr4AlSi from the Alexandria database. Energies are from PBE.

Output
Density of states at the Fermi level   6.571 states/eV per cell
Total energy   -7.24 eV/atom
Symmetry   P6/mmm, No. 191

Lattice parameters (Å, degrees): 4.823 4.823 5.858 90.00 90.00 120.00
Fractional positions:
Zr (0.333, 0.667, 0.250)
Zr (0.333, 0.667, 0.750)
Zr (0.667, 0.333, 0.250)
Zr (0.667, 0.333, 0.750)
Al (0.000, 0.000, 0.500)
Si (0.000, 0.000, 0.000)

No. 3
Here is a relaxed structure of ZrAl3Si3 from the Alexandria database. Energies are from PBE.

Output
Density of states at the Fermi level   6.954 states/eV per cell
Total energy   -5.11 eV/atom
Symmetry   P6_3/m, No. 176

Lattice parameters (Å, degrees): 7.324 7.323 4.998 90.00 90.00 120.01
Fractional positions:
Si (0.167, 0.938, 0.250)
Si (0.062, 0.229, 0.250)
Si (0.771, 0.833, 0.250)
Si (0.833, 0.062, 0.750)
Si (0.938, 0.771, 0.750)
Si (0.229, 0.167, 0.750)
Al (0.474, 0.374, 0.250)
Al (0.626, 0.100, 0.250)
Al (0.900, 0.526, 0.250)
Al (0.526, 0.626, 0.750)
Al (0.374, 0.900, 0.750)
Al (0.100, 0.474, 0.750)
Zr (0.333, 0.667, 0.250)
Zr (0.667, 0.333, 0.750)

No. 4
Here is a relaxed structure of Zr2AlSi4 from the Alexandria database. Energies are from PBE.

Output
Density of states at the Fermi level   3.863 states/eV per cell
Total energy   -6.48 eV/atom
Symmetry   P2_1/m, No. 11

Lattice parameters (Å, degrees): 3.695 8.548 7.521 91.84 90.00 90.00
Fractional positions:
Si (0.250, 0.992, 0.879)
Si (0.750, 0.008, 0.121)
Si (0.250, 0.089, 0.583)
Si (0.750, 0.911, 0.417)
Si (0.250, 0.499, 0.380)
Si (0.750, 0.501, 0.620)
Si (0.250, 0.501, 0.872)
Si (0.750, 0.499, 0.128)
Al (0.750, 0.760, 0.878)
Al (0.250, 0.240, 0.122)
Zr (0.250, 0.748, 0.150)
Zr (0.750, 0.252, 0.850)
Zr (0.250, 0.753, 0.612)
Zr (0.750, 0.247, 0.388)

No. 5
Here is a relaxed structure of Zr4AlSi from the Alexandria database. Energies are from PBE.

Output
Density of states at the Fermi level   12.877 states/eV per cell
Total energy   -7.58 eV/atom
Symmetry   Cmcm, No. 63

Lattice parameters (Å, degrees): 10.060 10.060 6.513 90.00 90.00 157.29
Fractional positions:
Si (0.715, 0.285, 0.750)
Si (0.285, 0.715, 0.250)
Al (0.418, 0.582, 0.750)
Al (0.582, 0.418, 0.250)
Zr (0.000, 0.000, 0.000)
Zr (0.000, 0.000, 0.500)
Zr (0.173, 0.827, 0.009)
Zr (0.827, 0.173, 0.509)
Zr (0.173, 0.827, 0.491)
Zr (0.827, 0.173, 0.991)
Zr (0.576, 0.424, 0.750)
Zr (0.424, 0.576, 0.250)

No. 6
Here is a relaxed structure of Zr2Al4Si from the Alexandria database. Energies are from PBE.

Output
Density of states at the Fermi level   4.539 states/eV per cell
Total energy   -5.24 eV/atom
Symmetry   P-3m1, No. 164

Lattice parameters (Å, degrees): 3.056 3.056 16.583 90.00 90.00 120.00
Fractional positions:
Zr (0.333, 0.667, 0.210)
Zr (0.667, 0.333, 0.790)
Al (0.333, 0.667, 0.935)
Al (0.667, 0.333, 0.065)
Al (0.333, 0.667, 0.379)
Al (0.667, 0.333, 0.621)
Si (0.000, 0.000, 0.500)